(1)
The following is a GGA-PBE calculation of a geometry-optimized Dy3ScAl2 structure, from Alexandria via LeMat-Bulk.

calculated formation energy = 0.18 eV per atom
crystal system = orthorhombic

Unit cell a=3.2759 b=5.3421 c=17.9590 alpha=90.00 beta=90.00 gamma=90.00
Closest atoms and distances in Å follow each position.
Space group Immm (No. 71)
Unique sites:
Dy1 0.0000 0.0000 0.0000 (multiplicity 2)  2 Sc 2.67
Dy2 0.0000 0.5000 0.1856 (multiplicity 4)  5 Al 3.05-3.22, 2 Dy 3.28, 1 Sc 3.33
Sc1 0.0000 0.5000 0.0000 (multiplicity 2)  2 Dy 2.67
Al1 0.0000 0.5000 0.3552 (multiplicity 4)  7 Dy 3.05-3.22, 2 Al 3.28

(2)
The following is a GGA-PBE calculation of a geometry-optimized Mg2MnCl6 structure, from Alexandria via LeMat-Bulk.

energy relative to the elements, uncorrected = -14.41 eV per formula unit
crystal system = monoclinic

Unit cell a=14.1971 b=3.6813 c=9.6823 alpha=90.00 beta=112.45 gamma=90.00
Closest atoms and distances in Å follow each position.
Space group C2/m (No. 12)
Unique sites:
Mg1 0.1669 0.0000 0.3341 (multiplicity 4)  6 Cl 2.53
Mn1 0.0000 0.5000 0.0000 (multiplicity 2)  6 Cl 2.54-2.56
Cl1 0.0356 0.5000 0.2796 (multiplicity 4)  2 Mg 2.53, 1 Mn 2.56
Cl2 0.1332 0.0000 0.0578 (multiplicity 4)  1 Mg 2.53, 2 Mn 2.54
Cl3 0.2019 0.0000 0.6104 (multiplicity 4)  3 Mg 2.53

(3)
The following is a GGA-PBE calculation of a geometry-optimized La2SiGe3 structure, from Alexandria via LeMat-Bulk.

energy relative to the elements, uncorrected = -3.89 eV per formula unit
crystal system = orthorhombic
relative energy among the computed polymorphs = 0 meV/atom

Unit cell a=4.1390 b=4.3040 c=7.9877 alpha=90.00 beta=90.00 gamma=90.00
Closest atoms and distances in Å follow each position.
Space group Pmm2 (No. 25)
Unique sites:
La1 0.0000 0.0000 0.0000 (multiplicity 1)  4 Si 3.24, 8 Ge 3.24-3.50
La2 0.5000 0.0000 0.4880 (multiplicity 1)  10 Ge 3.27-3.55, 2 Si 3.41
Si1 0.5000 0.5000 0.1571 (multiplicity 1)  3 Ge 2.45-2.52
Ge1 0.0000 0.5000 0.3204 (multiplicity 1)  2 Si 2.45, 1 Ge 2.67
Ge2 0.0000 0.5000 0.6544 (multiplicity 1)  3 Ge 2.55-2.67
Ge3 0.5000 0.5000 0.8412 (multiplicity 1)  1 Si 2.52, 2 Ge 2.55

(4)
The following is a GGA-PBE calculation of a geometry-optimized Zr5Ni3 structure, from Alexandria via LeMat-Bulk.

calculated formation energy = -0.25 eV per atom
crystal system = hexagonal
relative energy among the computed polymorphs = 0 meV/atom

Unit cell a=7.8065 b=7.8065 c=5.5839 alpha=90.00 beta=90.00 gamma=120.00
Closest atoms and distances in Å follow each position.
Space group P6_3/mcm (No. 193)
Unique sites:
Zr1 0.0000 0.2423 0.2500 (multiplicity 6)  3 Ni 2.72-2.80
Zr2 0.3333 0.6667 0.0000 (multiplicity 4)  6 Ni 2.77, 2 Zr 2.79
Ni1 0.0000 0.3991 0.7500 (multiplicity 6)  7 Zr 2.72-2.80

(5)
The following is a GGA-PBE calculation of a geometry-optimized Tb5PrHo5 structure, from Alexandria via LeMat-Bulk.

calculated formation energy = 0.31 eV per atom
crystal system = hexagonal

Unit cell a=6.0709 b=6.0709 c=11.5985 alpha=90.00 beta=90.00 gamma=120.00
Closest atoms and distances in Å follow each position.
Space group P-6m2 (No. 187)
Unique sites:
Tb1 0.0000 0.0000 0.0000 (multiplicity 1)  2 Ho 3.08
Tb2 0.3333 0.6667 0.3253 (multiplicity 2)  9 Ho 3.57-3.65, 1 Pr 3.77
Tb3 0.6667 0.3333 0.1577 (multiplicity 2)  7 Tb 3.66-4.01, 3 Ho 3.72, 3 Pr 3.95
Pr1 0.3333 0.6667 0.0000 (multiplicity 1)  5 Tb 3.51-3.77
Ho1 0.0000 0.0000 0.2653 (multiplicity 2)  1 Tb 3.08, 3 Ho 3.24
Ho2 0.3345 0.1672 0.5000 (multiplicity 3)  6 Ho 3.03-3.24

(6)
The following is a GGA-PBE calculation of a geometry-optimized Nb2VSn structure, from Alexandria via LeMat-Bulk.

calculated formation energy = 0.13 eV per atom
crystal system = triclinic

Unit cell a=3.0089 b=5.7863 c=8.7617 alpha=95.17 beta=99.71 gamma=90.08
Closest atoms and distances in Å follow each position.
Space group P-1 (No. 2)
Unique sites:
Nb1 0.0663 0.2263 0.2847 (multiplicity 2)  2 V 2.53-2.57
Nb2 0.2783 0.2733 0.7155 (multiplicity 2)  2 V 2.53-2.57
V1 0.5000 0.0000 0.5000 (multiplicity 1)  4 Nb 2.53-2.57
V2 0.5000 0.5000 0.5000 (multiplicity 1)  4 Nb 2.53-2.57
Sn1 0.0000 0.5000 0.0000 (multiplicity 1)  6 Nb 2.96-3.20, 6 Sn 3.01-3.26
Sn2 0.5000 0.0000 0.0000 (multiplicity 1)  6 Nb 2.97-3.19, 6 Sn 3.01-3.26

(7)
The following is a GGA-PBE calculation of a geometry-optimized Ca2CBr structure, from Alexandria via LeMat-Bulk.

energy relative to the elements, uncorrected = -1.16 eV per formula unit
crystal system = tetragonal

Unit cell a=6.9148 b=6.9148 c=8.9434 alpha=90.00 beta=90.00 gamma=90.00
Closest atoms and distances in Å follow each position.
Space group I-42d (No. 122)
Unique sites:
Ca1 0.1763 0.2500 0.1250 (multiplicity 8)  2 C 2.39
C1 0.0000 0.0000 0.0000 (multiplicity 4)  4 Ca 2.39
Br1 0.0000 0.0000 0.5000 (multiplicity 4)  4 Ca 3.04

(8)
The following is a GGA-PBE calculation of a geometry-optimized Sb2AsRh structure, from Alexandria via LeMat-Bulk.

energy relative to the elements, uncorrected = 1.18 eV per formula unit
crystal system = orthorhombic

Unit cell a=3.5909 b=4.5962 c=5.0859 alpha=90.00 beta=90.00 gamma=90.00
Closest atoms and distances in Å follow each position.
Space group Pmmm (No. 47)
Unique sites:
Sb1 0.0000 0.0000 0.0000 (multiplicity 1)  4 Rh 2.92, 4 Sb 3.11
Sb2 0.5000 0.0000 0.5000 (multiplicity 1)  4 As 2.92, 4 Sb 3.11
As1 0.0000 0.5000 0.5000 (multiplicity 1)  4 Sb 2.92, 4 Rh 3.11
Rh1 0.5000 0.5000 0.0000 (multiplicity 1)  4 Sb 2.92, 4 As 3.11